Nb3NiSb: relaxed, PBE-GGA.

abc: 4.6452 4.6452 4.6452
angles: 90.00 90.00 90.00
Element x y z (fractional)
Nb 0.0000 0.0000 0.5000
Nb 0.0000 0.5000 0.0000
Nb 0.5000 0.0000 0.0000
Ni 0.0000 0.0000 0.0000
Sb 0.5000 0.5000 0.5000

Calculated values
ρ: 7.61 g cm⁻³
relative energy among the computed polymorphs: 0 meV/atom
E_tot: -0.5500 Ry/atom
space group: No. 221
ΔE_f (raw): 538.9 meV per atom

---

PrAsH2Rh2: relaxed, PBE-GGA.

abc: 5.4109 5.5826 6.2834
angles: 90.00 100.66 90.00
Element x y z (fractional)
Pr 0.2076 0.2500 0.3188
Pr 0.7924 0.7500 0.6812
As 0.2877 0.7500 0.0995
As 0.7123 0.2500 0.9005
H 0.1397 0.2500 0.6892
H 0.2629 0.7500 0.6114
H 0.7371 0.2500 0.3886
H 0.8603 0.7500 0.3108
Rh 0.3297 0.0027 0.7898
Rh 0.3297 0.4973 0.7898
Rh 0.6703 0.5027 0.2102
Rh 0.6703 0.9973 0.2102

Calculated values
ρ: 7.54 g cm⁻³
E_tot: -0.4146 Ry/atom
space group: No. 11

---

Tl3TeSe: relaxed, PBE-GGA.

abc: 6.1167 6.1167 6.1167
angles: 90.00 90.00 90.00
Element x y z (fractional)
Tl 0.0000 0.0000 0.5000
Tl 0.0000 0.5000 0.0000
Tl 0.5000 0.0000 0.0000
Te 0.0000 0.0000 0.0000
Se 0.5000 0.5000 0.5000

Calculated values
ρ: 5.95 g cm⁻³
relative energy among the computed polymorphs: 496 meV/atom
E_tot: -0.1836 Ry/atom
space group: No. 221
ΔE_f (raw): 247.5 meV per atom